GaAs3N: single point on PBEsol structure, SCAN.

DOS(E_F): 2.684 states/eV per cell
Uncorrected energy: -16.444 eV/atom
Space group: Pm-3m, No. 221

a = 4.341 Å, b = 4.341 Å, c = 4.341 Å
α = 90.00°, β = 90.00°, γ = 90.00°
Element x y z (fractional)
Ga1 0.000 0.000 0.000
As1 0.000 0.500 0.500
As2 0.500 0.000 0.500
As3 0.500 0.500 0.000
N1 0.500 0.500 0.500